The following is a DFT calculation (PBE-GGA) of a geometry-optimized Dy2Sc2Rh structure.

Summary:
* raw total energy: -62.03 eV/cell
* formation energy: -0.36 eV per atom

abc: 6.6249 6.8046 6.6566
angles: 104.76 90.00 119.13
Element x y z (fractional)
Dy (0.5522, 0.2964, 0.6025)
Dy (0.2557, 0.7036, 0.8975)
Dy (0.4478, 0.7036, 0.3975)
Dy (0.7443, 0.2964, 0.1025)
Sc (0.7812, 0.7717, 0.0224)
Sc (0.0096, 0.2283, 0.4776)
Sc (0.2188, 0.2283, 0.9776)
Sc (0.9904, 0.7717, 0.5224)
Rh (0.7946, 0.0000, 0.7500)
Rh (0.2054, 0.0000, 0.2500)



The following is a DFT calculation (PBE-GGA) of a geometry-optimized AcHgPdPt structure.

Summary:
* raw total energy: -36.06 eV/cell
* energy above the most stable polymorph in this dataset: 2.7 meV per atom
* formation energy: -0.60 eV per atom

abc: 4.1962 4.1962 11.1033
angles: 90.00 90.00 90.00
Element x y z (fractional)
Ac (0.0000, 0.5000, 0.8117)
Ac (0.5000, 0.0000, 0.1883)
Hg (0.0000, 0.0000, 0.5000)
Hg (0.5000, 0.5000, 0.5000)
Pd (0.0000, 0.5000, 0.3250)
Pd (0.5000, 0.0000, 0.6750)
Pt (0.5000, 0.0000, 0.9164)
Pt (0.0000, 0.5000, 0.0836)



The following is a DFT calculation (PBE-GGA) of a geometry-optimized BiAsH2Rh structure.

Summary:
* raw total energy: -20.45 eV/cell

abc: 3.7586 5.6787 3.7586
angles: 90.00 90.00 90.00
Element x y z (fractional)
H (0.0000, 0.0000, 0.5000)
H (0.5000, 0.0000, 0.0000)
As (0.5000, 0.5000, 0.5000)
Rh (0.0000, 0.5000, 0.0000)
Bi (0.0000, 0.0000, 0.0000)



The following is a DFT calculation (PBE-GGA) of a geometry-optimized PmSbSe structure.

Summary:
* raw total energy: -15.32 eV/cell
* E_form (uncorrected): -95 kJ per mole of atoms
* energy above the most stable polymorph in this dataset: 375.9 meV per atom

abc: 3.8588 3.8588 6.1345
angles: 108.33 108.33 90.00
Element x y z (fractional)
Sb (0.0075, 0.0075, 0.0149)
Se (0.2976, 0.2976, 0.5953)
Pm (0.6949, 0.6949, 0.3898)



Which Fermi-level density of states belongs to each record? In order, 11.3 4.3 3.4 1.7 states/eV per cell.